The following is a PBE calculation of ZrSiC3 after structural relaxation, from Alexandria via LeMat-Bulk.

Structure (POSCAR):
```
ZrSiC3
1.0
4.319 0.000 0.000
0.000 4.319 0.000
0.000 0.000 4.319
Zr Si C
1 1 3
direct
0.000 0.000 0.000 Zr
0.500 0.500 0.500 Si
0.000 0.000 0.500 C
0.000 0.500 0.000 C
0.500 0.000 0.000 C
```

Values from the calculation:
**Formation energy from raw total energies**: 11.83 eV/f.u.
**Electronic total energy**: -5.96 eV/atom
**Offset from the most stable computed form**: 1277 meV/atom